A relaxed structure of InFe2Ir. Source: Alexandria via LeMat-Bulk, functional PBE.

Unit cell a=2.795 b=3.840 c=5.569 alpha=90.00 beta=90.00 gamma=90.00
Atoms (fractional coordinates):
In 0.000 0.000 0.000
Fe 0.500 0.500 0.279
Fe 0.500 0.500 0.721
Ir 0.000 0.000 0.500

Values from the calculation:
DFT formation energy: 0.13 eV per atom
density of states at the Fermi level: 3.69 states/eV per cell